(1)
# In3SnI6

In3SnI6 after structural relaxation (PBE, the Alexandria database).

Output
The crystal system is trigonal. The space group is R-3 (148). The uncorrected formation energy comes out at -40.3 kJ/mol of atoms. The value obtained for the raw total energy is -2.57 eV per atom.

```
In3SnI6
1.0
-7.855 -4.482 -3.523
4.918 -8.358 0.408
-3.137 -1.089 9.120
I In Sn
12 6 2
Direct
0.913 0.064 0.690
0.427 0.562 0.199
0.438 0.801 0.573
0.801 0.573 0.438
0.064 0.690 0.913
0.087 0.936 0.310
0.936 0.310 0.087
0.199 0.427 0.562
0.310 0.087 0.936
0.690 0.913 0.064
0.562 0.199 0.427
0.573 0.438 0.801
0.411 0.752 0.914
0.914 0.411 0.752
0.248 0.086 0.589
0.752 0.914 0.411
0.086 0.589 0.248
0.589 0.248 0.086
0.000 0.000 0.000
0.500 0.500 0.500
```

(2)
# InSnI3

InSnI3 after structural relaxation (PBE, the Alexandria database).

Output
The crystal system is triclinic. The space group is P-1 (2). The uncorrected formation energy comes out at -45.9 kJ/mol of atoms. The value obtained for the raw total energy is -2.75 eV per atom.

```
InSnI3
1.0
-3.083 -0.817 -3.323
-2.865 -3.578 6.732
-3.908 11.967 0.684
In I Sn
2 6 2
Direct
0.738 0.322 0.668
0.691 0.223 0.946
0.336 0.518 0.528
0.846 0.535 0.203
0.583 0.011 0.411
0.093 0.028 0.085
0.082 0.009 0.711
0.347 0.537 0.903
0.960 0.768 0.476
0.469 0.778 0.138
```

(3)
# InSn3I

InSn3I after structural relaxation (PBE, the Alexandria database).

Output
The crystal system is cubic. The space group is Pm-3m (221). The uncorrected formation energy comes out at 70.8 kJ/mol of atoms. The value obtained for the raw total energy is -2.53 eV per atom.

```
InSn3I
1.0
5.901 0.000 0.000
0.000 5.901 0.000
0.000 0.000 5.901
I In Sn
1 1 3
Direct
0.000 0.000 0.000
0.500 0.500 0.500
0.000 0.000 0.500
0.000 0.500 0.000
0.500 0.000 0.000
```

(4)
# In3Sn3I

In3Sn3I after structural relaxation (PBE, the Alexandria database).

Output
The crystal system is cubic. The space group is Pm-3n (223). The uncorrected formation energy comes out at 25.0 kJ/mol of atoms. The value obtained for the raw total energy is -2.85 eV per atom.

```
In3Sn3I
1.0
8.159 0.000 0.000
0.000 8.159 0.000
0.000 0.000 8.159
Sn In I
6 6 2
Direct
0.000 0.500 0.750
0.250 0.000 0.500
0.000 0.500 0.250
0.500 0.750 0.000
0.750 0.000 0.500
0.500 0.250 0.000
0.250 0.500 0.000
0.500 0.000 0.250
0.750 0.500 0.000
0.000 0.750 0.500
0.000 0.250 0.500
0.500 0.000 0.750
0.500 0.500 0.500
0.000 0.000 0.000
```

(5)
# In2SnI4

In2SnI4 after structural relaxation (PBE, the Alexandria database).

Output
The crystal system is orthorhombic. The space group is Cmmm (65). The uncorrected formation energy comes out at -45.8 kJ/mol of atoms. The value obtained for the raw total energy is -2.71 eV per atom.

```
In2SnI4
1.0
-3.234 -3.133 -1.411
1.898 -5.004 6.762
-6.280 5.386 2.433
I In Sn
4 2 1
Direct
0.000 0.768 0.232
0.500 0.781 0.781
0.000 0.232 0.768
0.500 0.219 0.219
0.500 0.500 0.000
0.500 0.000 0.500
0.000 0.000 0.000
```

(6)
# In2Sn2I

In2Sn2I after structural relaxation (PBE, the Alexandria database).

Output
The crystal system is tetragonal. The space group is I4/mmm (139). The uncorrected formation energy comes out at 1.3 kJ/mol of atoms. The value obtained for the raw total energy is -2.99 eV per atom.

```
In2Sn2I
1.0
5.198 0.000 0.000
0.000 5.198 0.000
2.599 2.599 5.949
In Sn I
2 2 1
Direct
0.250 0.750 0.500
0.750 0.250 0.500
0.621 0.621 0.758
0.379 0.379 0.242
0.000 0.000 0.000
```

(7)
# In2Sn2I5

In2Sn2I5 after structural relaxation (PBE, the Alexandria database).

Output
The crystal system is orthorhombic. The space group is Ima2 (46). The uncorrected formation energy comes out at -29.8 kJ/mol of atoms. The value obtained for the raw total energy is -2.67 eV per atom.

```
In2Sn2I5
1.0
-0.266 7.174 6.058
-7.514 -1.962 1.993
7.267 -8.408 2.993
I Sn In
10 4 4
Direct
0.835 0.232 0.084
0.727 0.763 0.697
0.749 0.732 0.084
0.251 0.648 0.916
0.053 0.806 0.500
0.165 0.148 0.916
0.530 0.566 0.303
0.470 0.263 0.697
0.273 0.066 0.303
0.947 0.306 0.500
0.237 0.442 0.500
0.000 0.900 0.000
0.500 0.400 0.000
0.763 0.942 0.500
0.883 0.390 0.801
0.419 0.890 0.801
0.117 0.589 0.199
0.581 0.089 0.199
```

(8)
# In2Sn2I

In2Sn2I after structural relaxation (PBE, the Alexandria database).

Output
The crystal system is tetragonal. The space group is P4/mbm (127). The uncorrected formation energy comes out at 4.0 kJ/mol of atoms. The value obtained for the raw total energy is -2.97 eV per atom.

```
In2Sn2I
1.0
-4.152 -6.157 -4.899
5.599 1.579 -6.731
2.454 -2.763 1.393
In I Sn
4 2 4
Direct
0.178 0.322 0.000
0.678 0.178 0.000
0.822 0.678 0.000
0.322 0.822 0.000
0.000 0.000 0.000
0.500 0.500 0.000
0.120 0.620 0.500
0.380 0.120 0.500
0.880 0.380 0.500
0.620 0.880 0.500
```